First-principles (PBE) data for a geometry-optimized La4Pr3ErSe8 structure, as listed in the Alexandria database.

Values from the calculation:
The calculation puts the calculated total energy at -6.0572 eV/atom. Its density of states at the Fermi level is 0.629 states/eV/atom. Its size of the total moment is 0.0002 μB per atom.

Unit cell a=8.5148 b=8.5148 c=8.5148 alpha=60.19 beta=60.19 gamma=60.19
With the nearest neighbours (Å) after each atom.
Sites, in units of the cell vectors:
La (0.0000, 0.0000, 0.0000)  6 Se 3.12
La (0.0000, 0.5000, 0.5000)  6 Se 3.02
La (0.5000, 0.0000, 0.5000)  6 Se 3.02
La (0.5000, 0.5000, 0.0000)  6 Se 3.02
Pr (0.0000, 0.0000, 0.5000)  6 Se 3.01
Pr (0.0000, 0.5000, 0.0000)  6 Se 3.01
Pr (0.5000, 0.0000, 0.0000)  6 Se 3.01
Er (0.5000, 0.5000, 0.5000)  6 Se 2.91
Se (0.2495, 0.2495, 0.2495)  3 Pr 3.01, 3 La 3.02
Se (0.2575, 0.7415, 0.7415)  1 Er 2.91, 2 Pr 3.01, 3 La 3.02-3.12
Se (0.2585, 0.2585, 0.7425)  1 Er 2.91, 2 Pr 3.01, 3 La 3.02-3.12
Se (0.2585, 0.7425, 0.2585)  1 Er 2.91, 2 Pr 3.01, 3 La 3.02-3.12
Se (0.7415, 0.2575, 0.7415)  1 Er 2.91, 2 Pr 3.01, 3 La 3.02-3.12
Se (0.7415, 0.7415, 0.2575)  1 Er 2.91, 2 Pr 3.01, 3 La 3.02-3.12
Se (0.7425, 0.2585, 0.2585)  1 Er 2.91, 2 Pr 3.01, 3 La 3.02-3.12
Se (0.7505, 0.7505, 0.7505)  3 Pr 3.01, 3 La 3.02